Run 1
# Ba5Tc

A geometry-optimized Ba5Tc structure (PBE, Alexandria).

It has space group F-43m (No. 216), with a = 10.786 Å, b = 10.786 Å, c = 10.786 Å, α = 90.00°, β = 90.00° and γ = 90.00°. The asymmetric unit holds Ba at (0.000, 0.000, 0.000), Ba at (0.123, 0.123, 0.623) and Tc at (0.250, 0.250, 0.250).



Run 2
# Ba5Tc

A geometry-optimized Ba5Tc structure (PBE, Alexandria).

It has space group P4/mmm (No. 123), with a = 4.135 Å, b = 4.135 Å, c = 17.568 Å, α = 90.00°, β = 90.00° and γ = 90.00°. The asymmetric unit holds Ba at (0.000, 0.000, 0.000), Ba at (0.000, 0.000, 0.395), Ba at (0.500, 0.500, 0.196) and Tc at (0.500, 0.500, 0.500).



Short version: run 1 is the least stable of them.



Run 1
# Ba2Tc3

A geometry-optimized Ba2Tc3 structure (PBE, Alexandria).

It has space group P-3m1 (No. 164), with a = 4.0382 Å, b = 4.0382 Å, c = 10.8067 Å, α = 90.00°, β = 90.00° and γ = 120.00°. The asymmetric unit holds Ba at (0.3333, 0.6667, 0.2793), Tc at (0.0000, 0.0000, 0.5000) and Tc at (0.3333, 0.6667, 0.9828).



Run 2
# Ba2Tc3

A geometry-optimized Ba2Tc3 structure (PBE, Alexandria).

It has space group Fdd2 (No. 43), with a = 10.253 Å, b = 15.022 Å, c = 6.747 Å, α = 90.00°, β = 90.00° and γ = 90.00°. The asymmetric unit holds Ba at (0.087, 0.300, 0.000), Tc at (0.000, 0.000, 0.222) and Tc at (0.092, 0.372, 0.515).



Short version: run 1 is the least stable of them.



Run 1
# BaTc4

A geometry-optimized BaTc4 structure (PBE, Alexandria).

It has space group Pm-3m (No. 221), with a = 4.892 Å, b = 4.892 Å, c = 4.892 Å, α = 90.00°, β = 90.00° and γ = 90.00°. The asymmetric unit holds Ba at (0.000, 0.000, 0.000), Tc at (0.000, 0.000, 0.500) and Tc at (0.500, 0.500, 0.500).



Run 2
# BaTc4

A geometry-optimized BaTc4 structure (PBE, Alexandria).

It has space group Im-3m (No. 229), with a = 5.968 Å, b = 5.968 Å, c = 5.968 Å, α = 90.00°, β = 90.00° and γ = 90.00°. The asymmetric unit holds Ba at (0.000, 0.000, 0.000) and Tc at (0.250, 0.250, 0.250).



Short version: run 1 is the least stable of them.